VASP calculation (meta-GGA SCAN) on a PBEsol-optimized structure of Li2YCd2.

Structure (POSCAR):
```
Li2YCd2
1.0
3.982 0.000 0.000
0.000 3.982 0.000
-1.991 -1.991 6.838
Li Y Cd
2 1 2
Direct
0.750 0.250 0.500
0.250 0.750 0.500
0.000 0.000 0.000
0.393 0.393 0.787
0.607 0.607 0.213
```

Calculated values
ΔH_f (0 K), eV/f.u.: -1.382

=====

VASP calculation (meta-GGA SCAN) on a PBEsol-optimized structure of KSr2InFe.

Structure (POSCAR):
```
KSr2InFe
1.0
5.178 0.000 0.000
0.000 5.752 0.000
0.000 0.000 5.752
Sr K In Fe
2 1 1 1
Direct
0.000 0.500 0.000
0.000 0.000 0.500
0.500 0.500 0.500
0.500 0.000 0.000
0.000 0.000 0.000
```

Calculated values
ΔH_f (0 K), eV/f.u.: 0.801

=====

VASP calculation (meta-GGA SCAN) on a PBEsol-optimized structure of Al2O3.

Structure (POSCAR):
```
Al2O3
1.0
5.620 0.000 -0.002
0.000 5.620 0.000
-0.352 0.000 23.456
Al O
32 48
Direct
0.250 0.267 0.750
0.251 0.774 0.580
0.499 0.259 0.875
0.000 0.500 0.500
0.518 0.234 0.209
0.520 0.019 0.671
0.505 0.271 0.541
0.980 0.019 0.829
0.981 0.512 0.830
0.249 0.774 0.920
0.481 0.488 0.330
0.758 0.775 0.579
0.480 0.981 0.329
0.242 0.225 0.421
0.019 0.488 0.170
0.519 0.512 0.670
0.258 0.225 0.079
0.995 0.271 0.959
0.020 0.981 0.171
0.501 0.741 0.125
0.999 0.741 0.375
0.005 0.729 0.041
0.982 0.234 0.291
0.482 0.766 0.791
0.750 0.733 0.250
0.742 0.775 0.921
0.751 0.226 0.080
0.500 0.500 0.000
0.001 0.259 0.625
0.749 0.226 0.420
0.495 0.729 0.459
0.018 0.766 0.709
0.779 0.236 0.162
0.481 0.511 0.748
0.504 0.013 0.088
0.256 0.731 0.998
0.247 0.270 0.498
0.996 0.472 0.418
0.243 0.236 0.165
0.996 0.999 0.915
0.257 0.236 0.335
0.004 0.001 0.085
0.504 0.472 0.082
0.504 0.535 0.588
0.727 0.735 0.332
0.519 0.489 0.252
0.496 0.987 0.912
0.519 0.979 0.252
0.004 0.987 0.588
0.004 0.465 0.088
0.496 0.465 0.412
0.743 0.764 0.665
0.273 0.265 0.668
0.996 0.535 0.912
0.227 0.265 0.832
0.996 0.013 0.412
0.232 0.735 0.162
0.756 0.269 0.498
0.768 0.265 0.838
0.279 0.764 0.662
0.496 0.528 0.918
0.004 0.528 0.582
0.244 0.731 0.502
0.496 0.001 0.415
0.253 0.270 0.002
0.221 0.764 0.838
0.757 0.764 0.835
0.747 0.730 0.998
0.981 0.979 0.248
0.732 0.265 0.662
0.019 0.021 0.752
0.721 0.236 0.338
0.744 0.269 0.002
0.019 0.511 0.752
0.981 0.489 0.248
0.481 0.021 0.748
0.504 0.999 0.585
0.268 0.735 0.338
0.753 0.730 0.502
0.773 0.735 0.168
```

Calculated values
ΔE_f (raw), meV per atom: -3323

=====

VASP calculation (meta-GGA SCAN) on a PBEsol-optimized structure of MnSe2Cl.

Structure (POSCAR):
```
MnSe2Cl
1.0
-0.074 2.516 -1.431
-2.407 0.741 1.428
5.087 3.881 6.562
Cl Se Mn
1 2 1
Direct
0.000 0.000 0.592
0.000 0.000 0.918
0.500 0.500 0.230
0.500 0.500 0.761
```

Calculated values
ΔE_f (raw), meV per atom: -136

=====

VASP calculation (meta-GGA SCAN) on a PBEsol-optimized structure of SrCa2Se.

Structure (POSCAR):
```
SrCa2Se
1.0
4.640 0.000 0.000
0.000 4.640 0.000
-2.320 -2.320 6.136
Se Sr Ca
1 1 2
Direct
0.500 0.500 0.000
0.000 0.000 0.000
0.750 0.250 0.500
0.250 0.750 0.500
```

Calculated values
ΔE_f (raw), meV per atom: -642

=====

VASP calculation (meta-GGA SCAN) on a PBEsol-optimized structure of Na3LaZr.

Structure (POSCAR):
```
Na3LaZr
1.0
5.620 0.000 0.000
0.000 5.620 0.000
0.000 0.000 5.620
Na La Zr
3 1 1
Direct
0.000 0.000 0.500
0.500 0.000 0.000
0.000 0.500 0.000
0.500 0.500 0.500
0.000 0.000 0.000
```

Calculated values
ΔH_f (0 K), eV/f.u.: 5.500

=====

no.,calculated density (g/cm³),uncorrected energy (eV per cell)
1,5.02,-94.83
2,3.73,-103.59
3,3.66,-813.03
4,5.37,-66.93
5,3.10,-64.25
6,2.80,-80.95